This record from the Open Quantum Materials Database describes AcErPu after structural relaxation. The functional is GGA-PBE.

CIF file:
```
data_AcErPu
_space_group_name_H-M_alt 'F -4 3 m'
_space_group_IT_number 216
_space_group_name_Hall 'F -4 2 3'
_cell_length_a 7.678
_cell_length_b 7.678
_cell_length_c 7.678
_cell_angle_alpha 90.00
_cell_angle_beta 90.00
_cell_angle_gamma 90.00
loop_
_atom_site_label
_atom_site_type_symbol
_atom_site_fract_x
_atom_site_fract_y
_atom_site_fract_z
Ac1 Ac 0.000 0.000 0.000
Er1 Er 0.250 0.250 0.750
Pu1 Pu 0.250 0.250 0.250
```

Calculated values
Calculated total energy   -80.29 eV/cell
Energy above the most stable polymorph in this dataset   145 meV per atom

This record from the Open Quantum Materials Database describes Sr2LiH6Pt after structural relaxation. The functional is GGA-PBE.

CIF file:
```
data_Sr2LiH6Pt
_space_group_name_H-M_alt 'I 4/m'
_space_group_IT_number 87
_space_group_name_Hall '-I 4'
_cell_length_a 5.436
_cell_length_b 5.436
_cell_length_c 7.695
_cell_angle_alpha 90.00
_cell_angle_beta 90.00
_cell_angle_gamma 90.00
loop_
_atom_site_label
_atom_site_type_symbol
_atom_site_fract_x
_atom_site_fract_y
_atom_site_fract_z
Sr1 Sr 0.000 0.500 0.250
Li1 Li 0.000 0.000 0.000
H1 H 0.000 0.000 0.260
H2 H 0.235 0.756 0.500
Pt1 Pt 0.000 0.000 0.500
```

Calculated values
Calculated total energy   -71.81 eV/cell
Energy above the most stable polymorph in this dataset   1 meV per atom

This record from the Open Quantum Materials Database describes SiW2 after structural relaxation. The functional is GGA-PBE.

CIF file:
```
data_SiW2
_space_group_name_H-M_alt 'F d d d'
_space_group_IT_number 70
_cell_length_a 4.890
_cell_length_b 8.508
_cell_length_c 16.936
_cell_angle_alpha 90.00
_cell_angle_beta 90.00
_cell_angle_gamma 90.00
loop_
_space_group_symop_operation_xyz
'x,y,z'
'-x,-y,-z'
'-x+1/4,-y+1/4,z'
'x+1/4,y+1/4,-z'
'x,-y+1/4,-z+1/4'
'-x,y+1/4,z+1/4'
'-x+1/4,y,-z+1/4'
'x+1/4,-y,z+1/4'
'x,y+1/2,z+1/2'
'-x,-y+1/2,-z+1/2'
'-x+1/4,-y+3/4,z+1/2'
'x+1/4,y+3/4,-z+1/2'
'x,-y+3/4,-z+3/4'
'-x,y+3/4,z+3/4'
'-x+1/4,y+1/2,-z+3/4'
'x+1/4,-y+1/2,z+3/4'
'x+1/2,y,z+1/2'
'-x+1/2,-y,-z+1/2'
'-x+3/4,-y+1/4,z+1/2'
'x+3/4,y+1/4,-z+1/2'
'x+1/2,-y+1/4,-z+3/4'
'-x+1/2,y+1/4,z+3/4'
'-x+3/4,y,-z+3/4'
'x+3/4,-y,z+3/4'
'x+1/2,y+1/2,z'
'-x+1/2,-y+1/2,-z'
'-x+3/4,-y+3/4,z'
'x+3/4,y+3/4,-z'
'x+1/2,-y+3/4,-z+1/4'
'-x+1/2,y+3/4,z+1/4'
'-x+3/4,y+1/2,-z+1/4'
'x+3/4,-y+1/2,z+1/4'
loop_
_atom_site_label
_atom_site_type_symbol
_atom_site_fract_x
_atom_site_fract_y
_atom_site_fract_z
Si1 Si 0.125 0.125 0.001
W1 W 0.125 0.125 0.545
W2 W 0.125 0.296 0.125
```

Calculated values
Calculated total energy   -509.45 eV/cell
Energy above the most stable polymorph in this dataset   0 meV per atom

This record from the Open Quantum Materials Database describes GdTeMo after structural relaxation. The functional is GGA-PBE.

CIF file:
```
data_GdTeMo
_space_group_name_H-M_alt 'F -4 3 m'
_space_group_IT_number 216
_space_group_name_Hall 'F -4 2 3'
_cell_length_a 6.664
_cell_length_b 6.664
_cell_length_c 6.664
_cell_angle_alpha 90.00
_cell_angle_beta 90.00
_cell_angle_gamma 90.00
loop_
_atom_site_label
_atom_site_type_symbol
_atom_site_fract_x
_atom_site_fract_y
_atom_site_fract_z
Gd1 Gd 0.000 0.000 0.000
Te1 Te 0.000 0.000 0.500
Mo1 Mo 0.250 0.250 0.250
```

Calculated values
Calculated total energy   -71.98 eV/cell
Energy above the most stable polymorph in this dataset   0 meV per atom

This record from the Open Quantum Materials Database describes MgUCu after structural relaxation. The functional is GGA-PBE.

CIF file:
```
data_MgUCu
_space_group_name_H-M_alt 'F -4 3 m'
_space_group_IT_number 216
_space_group_name_Hall 'F -4 2 3'
_cell_length_a 6.773
_cell_length_b 6.773
_cell_length_c 6.773
_cell_angle_alpha 90.00
_cell_angle_beta 90.00
_cell_angle_gamma 90.00
loop_
_atom_site_label
_atom_site_type_symbol
_atom_site_fract_x
_atom_site_fract_y
_atom_site_fract_z
Mg1 Mg 0.000 0.000 0.000
U1 U 0.250 0.250 0.750
Cu1 Cu 0.000 0.000 0.500
```

Calculated values
Calculated total energy   -50.73 eV/cell

This record from the Open Quantum Materials Database describes TbTmSi2Pd after structural relaxation. The functional is GGA-PBE.

CIF file:
```
data_TbTmSi2Pd
_space_group_name_H-M_alt 'C 1 2/m 1'
_space_group_IT_number 12
_space_group_name_Hall '-C 2y'
_cell_length_a 10.405
_cell_length_b 4.258
_cell_length_c 10.109
_cell_angle_alpha 90.00
_cell_angle_beta 118.20
_cell_angle_gamma 90.00
loop_
_atom_site_label
_atom_site_type_symbol
_atom_site_fract_x
_atom_site_fract_y
_atom_site_fract_z
Tb1 Tb 0.001 0.000 0.322
Tm1 Tm 0.185 0.000 0.106
Si1 Si 0.020 0.500 0.889
Si2 Si 0.134 0.500 0.565
Pd1 Pd 0.224 0.500 0.356
```

Calculated values
Calculated total energy   -118.89 eV/cell
Energy above the most stable polymorph in this dataset   7 meV per atom

This record from the Open Quantum Materials Database describes TmTa2Se5 after structural relaxation. The functional is GGA-PBE.

CIF file:
```
data_TmTa2Se5
_space_group_name_H-M_alt 'C m c m'
_space_group_IT_number 63
_space_group_name_Hall '-C 2c 2'
_cell_length_a 3.636
_cell_length_b 14.076
_cell_length_c 16.567
_cell_angle_alpha 90.00
_cell_angle_beta 90.00
_cell_angle_gamma 90.00
loop_
_atom_site_label
_atom_site_type_symbol
_atom_site_fract_x
_atom_site_fract_y
_atom_site_fract_z
Tm1 Tm 0.000 0.144 0.250
Ta1 Ta 0.000 0.288 0.569
Se1 Se 0.000 0.077 0.099
Se2 Se 0.000 0.222 0.750
Se3 Se 0.000 0.344 0.077
```

Calculated values
Calculated total energy   -211.76 eV/cell

This record from the Open Quantum Materials Database describes GdEr2Ga after structural relaxation. The functional is GGA-PBE.

CIF file:
```
data_GdEr2Ga
_space_group_name_H-M_alt 'A m m 2'
_space_group_IT_number 38
_space_group_name_Hall 'A 2 -2'
_cell_length_a 5.184
_cell_length_b 6.953
_cell_length_c 11.959
_cell_angle_alpha 90.00
_cell_angle_beta 90.00
_cell_angle_gamma 90.00
loop_
_atom_site_label
_atom_site_type_symbol
_atom_site_fract_x
_atom_site_fract_y
_atom_site_fract_z
Gd1 Gd 0.000 0.000 0.000
Gd2 Gd 0.500 0.000 0.308
Er1 Er 0.000 0.000 0.495
Er2 Er 0.500 0.000 0.817
Er3 Er 0.500 0.248 0.582
Ga1 Ga 0.000 0.232 0.729
```

Calculated values
Calculated total energy   -69.63 eV/cell
Energy above the most stable polymorph in this dataset   105 meV per atom